## HfIrIN2 (meta-GGA SCAN)

Data for a crystal of HfIrIN2 relaxed with PBEsol.

Output
E_form (uncorrected) in eV per atom: 0.9734
Density in g/cm³: 9.16
DOS at the Fermi energy in states/eV/cell: 3.66

Cell lengths 3.998, 3.998, 5.963 Å; angles 90.00, 90.00, 90.00 degrees
Sites, in units of the cell vectors:
I: 0.000 0.000 0.500
Ir: 0.500 0.500 0.500
Hf: 0.000 0.000 0.000
N: 0.000 0.500 0.000
N: 0.500 0.000 0.000

## HfIrPt2I (meta-GGA SCAN)

Data for a crystal of HfIrPt2I relaxed with PBEsol.

Output
E_form (uncorrected) in eV per atom: 1.1535
Density in g/cm³: 12.77
DOS at the Fermi energy in states/eV/cell: 5.09

Cell lengths 4.825, 4.825, 4.959 Å; angles 90.00, 90.00, 90.00 degrees
Sites, in units of the cell vectors:
I: 0.000 0.000 0.500
Ir: 0.000 0.000 0.000
Hf: 0.500 0.500 0.500
Pt: 0.000 0.500 0.000
Pt: 0.500 0.000 0.000

## HfSb2IrI (meta-GGA SCAN)

Data for a crystal of HfSb2IrI relaxed with PBEsol.

Output
E_form (uncorrected) in eV per atom: 1.2628
Density in g/cm³: 7.97
DOS at the Fermi energy in states/eV/cell: 4.60

Cell lengths 5.271, 5.411, 5.411 Å; angles 90.00, 90.00, 90.00 degrees
Sites, in units of the cell vectors:
I: 0.500 0.000 0.000
Sb: 0.000 0.000 0.500
Sb: 0.000 0.500 0.000
Ir: 0.500 0.500 0.500
Hf: 0.000 0.000 0.000